--- i ---
Sr2LiCoN2 PBE-GGA relaxed; size of the total moment = 3.982 μB per cell; space group = No. 58; density = 4.1 g/cm³
1.0
6.302 0.000 0.000
0.000 8.015 0.000
0.000 0.000 4.286
Sr Li Co N
4 2 2 4
direct
0.117 0.249 0.000 Sr
0.383 0.749 0.500 Sr
0.617 0.251 0.500 Sr
0.883 0.751 0.000 Sr
0.000 0.000 0.500 Li
0.500 0.500 0.000 Li
0.000 0.500 0.500 Co
0.500 0.000 0.000 Co
0.237 0.913 0.000 N
0.263 0.413 0.500 N
0.737 0.587 0.500 N
0.763 0.087 0.000 N

***

--- ii ---
Sr2LiCoN2 PBE-GGA relaxed; size of the total moment = 3.985 μB per cell; space group = No. 136; density = 4.1 g/cm³
1.0
5.412 0.000 0.000
0.000 5.412 0.000
0.000 0.000 7.363
Sr Li Co N
4 2 2 4
direct
0.000 0.500 0.250 Sr
0.000 0.500 0.750 Sr
0.500 0.000 0.250 Sr
0.500 0.000 0.750 Sr
0.000 0.000 0.000 Li
0.500 0.500 0.500 Li
0.000 0.000 0.500 Co
0.500 0.500 0.000 Co
0.235 0.235 0.500 N
0.265 0.735 0.000 N
0.735 0.265 0.000 N
0.765 0.765 0.500 N

***

Most favorable first, least favorable last: ii, i

***

--- i ---
LiCoTe2N PBE-GGA relaxed; size of the total moment = 0.000 μB per cell; DOS at the Fermi energy = 2.249 states/eV/cell; space group = No. 123; density = 5.6 g/cm³
1.0
5.450 0.000 0.000
0.000 5.450 0.000
0.000 0.000 3.350
Li Co Te N
1 1 2 1
direct
0.000 0.000 0.000 Li
0.500 0.500 0.500 Co
0.000 0.500 0.500 Te
0.500 0.000 0.500 Te
0.500 0.500 0.000 N

***

--- ii ---
LiCoTe2N PBE-GGA relaxed; size of the total moment = 1.945 μB per cell; DOS at the Fermi energy = 6.913 states/eV/cell; space group = No. 123; density = 6.4 g/cm³
1.0
5.062 0.000 0.000
0.000 5.062 0.000
0.000 0.000 3.384
Li Co Te N
1 1 2 1
direct
0.000 0.000 0.000 Li
0.500 0.500 0.500 Co
0.000 0.500 0.000 Te
0.500 0.000 0.000 Te
0.000 0.000 0.500 N

***

Most favorable first, least favorable last: i, ii

***

--- i ---
Na2Li2Co PBE-GGA relaxed; size of the total moment = 2.669 μB per cell; DOS at the Fermi energy = 5.867 states/eV/cell; space group = No. 127; density = 1.8 g/cm³
1.0
6.632 0.000 0.000
0.000 6.632 0.000
0.000 0.000 5.075
Na Li Co
4 4 2
direct
0.187 0.313 0.000 Na
0.313 0.813 0.000 Na
0.687 0.187 0.000 Na
0.813 0.687 0.000 Na
0.146 0.646 0.500 Li
0.354 0.146 0.500 Li
0.646 0.854 0.500 Li
0.854 0.354 0.500 Li
0.000 0.000 0.500 Co
0.500 0.500 0.500 Co

***

--- ii ---
Na2Li2Co PBE-GGA relaxed; size of the total moment = 2.812 μB per cell; DOS at the Fermi energy = 6.204 states/eV/cell; space group = No. 139; density = 1.8 g/cm³
1.0
3.949 0.000 0.000
0.000 3.949 0.000
0.000 0.000 13.967
Na Li Co
4 4 2
direct
0.000 0.500 0.250 Na
0.000 0.500 0.750 Na
0.500 0.000 0.250 Na
0.500 0.000 0.750 Na
0.000 0.000 0.081 Li
0.000 0.000 0.919 Li
0.500 0.500 0.419 Li
0.500 0.500 0.581 Li
0.000 0.000 0.500 Co
0.500 0.500 0.000 Co

***

Most favorable first, least favorable last: i, ii